Entry 1:
The following is a DFT calculation (PBE-GGA) of an optimized crystal structure of Sm2TlHg8.

Cell and atoms, written as CIF:
```
data_Sm2TlHg8
_chemical_formula_sum 'Sm2 Tl1 Hg8'
_cell_length_a 4.863
_cell_length_b 7.198
_cell_length_c 9.061
_cell_angle_alpha 108.34
_cell_angle_beta 105.56
_cell_angle_gamma 90.00
_space_group_name_H-M_alt 'P 1'
_space_group_IT_number 1
_space_group_name_Hall 'P 1'
loop_
_atom_site_label
_atom_site_type_symbol
_atom_site_fract_x
_atom_site_fract_y
_atom_site_fract_z
Hg1 Hg 0.030 0.718 0.061
Hg2 Hg 0.970 0.282 0.939
Hg3 Hg 0.158 0.196 0.316
Hg4 Hg 0.388 0.569 0.776
Hg5 Hg 0.842 0.804 0.684
Hg6 Hg 0.343 0.108 0.686
Hg7 Hg 0.612 0.431 0.224
Hg8 Hg 0.657 0.892 0.314
Sm1 Sm 0.787 0.320 0.574
Sm2 Sm 0.213 0.680 0.426
Tl1 Tl 0.500 0.000 0.000
```

Calculated values
total magnetic moment: 0.000 μB per atom
calculated total energy: -1.515 eV/atom
energy relative to the elements: -0.22 eV/atom
calculated volume: 288.8 Å³ per cell



Entry 2:
The following is a DFT calculation (PBE-GGA) of an optimized crystal structure of AcPmY2Se6.

Cell and atoms, written as CIF:
```
data_AcPmY2Se6
_chemical_formula_sum 'Ac1 Pm1 Y2 Se6'
_cell_length_a 7.448
_cell_length_b 7.448
_cell_length_c 7.814
_cell_angle_alpha 61.53
_cell_angle_beta 61.53
_cell_angle_gamma 60.00
_space_group_name_H-M_alt 'P 1'
_space_group_IT_number 1
_space_group_name_Hall 'P 1'
loop_
_atom_site_label
_atom_site_type_symbol
_atom_site_fract_x
_atom_site_fract_y
_atom_site_fract_z
Y1 Y 0.516 0.516 0.451
Y2 Y 0.012 0.012 0.965
Pm1 Pm 0.314 0.314 0.057
Ac1 Ac 0.805 0.805 0.585
Se1 Se 0.150 0.375 0.743
Se2 Se 0.232 0.903 0.243
Se3 Se 0.903 0.623 0.243
Se4 Se 0.623 0.232 0.243
Se5 Se 0.375 0.731 0.743
Se6 Se 0.731 0.150 0.743
```

Calculated values
total magnetic moment: 0.000 μB per atom
calculated total energy: -6.157 eV/atom
formation energy from raw total energies: -1.89 eV per atom
calculated volume: 313.4 Å³ per cell



Entry 3:
The following is a DFT calculation (PBE-GGA) of an optimized crystal structure of Pr4AgSn8.

Cell and atoms, written as CIF:
```
data_Pr4AgSn8
_chemical_formula_sum 'Pr4 Ag1 Sn8'
_cell_length_a 4.463
_cell_length_b 4.544
_cell_length_c 17.978
_cell_angle_alpha 90.00
_cell_angle_beta 90.00
_cell_angle_gamma 90.00
_space_group_name_H-M_alt 'P 1'
_space_group_IT_number 1
_space_group_name_Hall 'P 1'
loop_
_atom_site_label
_atom_site_type_symbol
_atom_site_fract_x
_atom_site_fract_y
_atom_site_fract_z
Sn1 Sn 0.000 0.500 0.230
Sn2 Sn 0.500 0.000 0.579
Sn3 Sn 0.000 0.500 0.931
Sn4 Sn 0.500 0.500 0.755
Sn5 Sn 0.500 0.000 0.228
Sn6 Sn 0.500 0.500 0.042
Sn7 Sn 0.000 0.000 0.750
Sn8 Sn 0.000 0.000 0.472
Pr1 Pr 0.000 0.000 0.088
Pr2 Pr 0.000 0.500 0.611
Pr3 Pr 0.500 0.500 0.400
Pr4 Pr 0.500 0.000 0.893
Ag1 Ag 0.000 0.000 0.324
```

Calculated values
total magnetic moment: 0.000 μB per atom
calculated total energy: -4.733 eV/atom
energy relative to the elements: -0.58 eV/atom
calculated volume: 364.6 Å³ per cell



Entry 4:
The following is a DFT calculation (PBE-GGA) of an optimized crystal structure of BaNa2SrCl6.

Cell and atoms, written as CIF:
```
data_BaNa2SrCl6
_chemical_formula_sum 'Ba1 Na2 Sr1 Cl6'
_cell_length_a 7.389
_cell_length_b 7.389
_cell_length_c 7.799
_cell_angle_alpha 61.72
_cell_angle_beta 61.72
_cell_angle_gamma 59.99
_space_group_name_H-M_alt 'P 1'
_space_group_IT_number 1
_space_group_name_Hall 'P 1'
loop_
_atom_site_label
_atom_site_type_symbol
_atom_site_fract_x
_atom_site_fract_y
_atom_site_fract_z
Na1 Na 0.014 0.014 0.958
Na2 Na 0.519 0.519 0.444
Cl1 Cl 0.620 0.233 0.243
Cl2 Cl 0.378 0.726 0.750
Cl3 Cl 0.232 0.904 0.243
Cl4 Cl 0.726 0.146 0.750
Cl5 Cl 0.904 0.620 0.243
Cl6 Cl 0.146 0.378 0.750
Sr1 Sr 0.314 0.314 0.057
Ba1 Ba 0.808 0.808 0.577
```

Calculated values
total magnetic moment: 0.000 μB per atom
calculated total energy: -3.929 eV/atom
formation energy from raw total energies: -2.20 eV per atom
calculated volume: 308.7 Å³ per cell



Entry 5:
The following is a DFT calculation (PBE-GGA) of an optimized crystal structure of Na2SbIr2S6.

Cell and atoms, written as CIF:
```
data_Na2SbIr2S6
_chemical_formula_sum 'Na2 Sb1 Ir2 S6'
_cell_length_a 6.400
_cell_length_b 6.400
_cell_length_c 6.972
_cell_angle_alpha 98.45
_cell_angle_beta 98.45
_cell_angle_gamma 120.86
_space_group_name_H-M_alt 'P 1'
_space_group_IT_number 1
_space_group_name_Hall 'P 1'
loop_
_atom_site_label
_atom_site_type_symbol
_atom_site_fract_x
_atom_site_fract_y
_atom_site_fract_z
Ir1 Ir 0.667 0.333 0.500
Ir2 Ir 0.333 0.667 0.500
S1 S 0.059 0.424 0.694
S2 S 0.298 0.298 0.304
S3 S 0.576 0.941 0.306
S4 S 0.424 0.059 0.694
S5 S 0.941 0.576 0.306
S6 S 0.702 0.702 0.696
Na1 Na 0.160 0.840 0.000
Na2 Na 0.840 0.160 0.000
Sb1 Sb 0.000 0.000 0.500
```

Calculated values
total magnetic moment: 0.000 μB per atom
calculated total energy: -5.040 eV/atom
formation energy from raw total energies: -0.56 eV per atom
calculated volume: 234.0 Å³ per cell



Entry 6:
The following is a DFT calculation (PBE-GGA) of an optimized crystal structure of HoTmMnTl.

Cell and atoms, written as CIF:
```
data_HoTmMnTl
_chemical_formula_sum 'Ho1 Tm1 Mn1 Tl1'
_cell_length_a 5.170
_cell_length_b 5.170
_cell_length_c 5.170
_cell_angle_alpha 60.00
_cell_angle_beta 60.00
_cell_angle_gamma 60.00
_space_group_name_H-M_alt 'P 1'
_space_group_IT_number 1
_space_group_name_Hall 'P 1'
loop_
_atom_site_label
_atom_site_type_symbol
_atom_site_fract_x
_atom_site_fract_y
_atom_site_fract_z
Mn1 Mn 0.000 0.000 0.000
Tl1 Tl 0.500 0.500 0.500
Ho1 Ho 0.250 0.250 0.250
Tm1 Tm 0.750 0.750 0.750
```

Calculated values
total magnetic moment: 0.845 μB per atom
calculated total energy: -5.160 eV/atom
energy relative to the elements: -0.01 eV/atom
calculated volume: 97.7 Å³ per cell



> Among the records above, which one has the highest total magnetic moment?

HoTmMnTl